(1)
This record from Alexandria via LeMat-Bulk describes a geometry-optimized VPbS2 structure. The functional is PBE-GGA.

Cell: 8.148 8.148 8.148 Å, 29.73 29.73 29.73°
Site moments in Bohr magnetons follow the coordinates.
Fractional positions:
S 0.904 0.904 0.904  -0.10
Pb 0.500 0.500 0.500  0.00
S 0.096 0.096 0.096  -0.10
V 0.000 0.000 0.000  2.50

Uncorrected formation energy (meV/atom): 10
E_tot (eV/atom): -5.260
Symmetry: R-3m



(2)
This record from Alexandria via LeMat-Bulk describes a geometry-optimized BeTl2Ag structure. The functional is PBE-GGA.

Cell: 5.675 5.675 5.675 Å, 135.99 135.99 64.00°
Fractional positions:
Tl 0.000 0.000 0.000
Be 0.750 0.250 0.500
Ag 0.500 0.500 0.000
Tl 0.250 0.750 0.500

Energy relative to the elements (eV/atom): 0.55
E_tot (eV/atom): -2.279
Symmetry: I-4m2



(3)
This record from Alexandria via LeMat-Bulk describes a geometry-optimized Nb3MoIr structure. The functional is PBE-GGA.

Cell: 4.725 4.725 4.725 Å, 90.00 90.00 90.00°
Fractional positions:
Nb 0.500 0.000 0.000
Nb 0.000 0.000 0.500
Nb 0.000 0.500 0.000
Mo 0.000 0.000 0.000
Ir 0.500 0.500 0.500

Energy relative to the elements (eV/atom): 1.43
Relative energy among the computed polymorphs (eV per atom): 0.133
E_tot (eV/atom): -8.554
Symmetry: Pm-3m



(4)
This record from Alexandria via LeMat-Bulk describes a geometry-optimized CeTmHg structure. The functional is PBE-GGA.

Cell: 5.360 5.360 6.483 Å, 90.00 90.00 119.98°
Site moments in Bohr magnetons follow the coordinates.
Fractional positions:
Ce 0.000 0.500 0.000  1.07
Hg 0.333 0.167 0.250  0.02
Tm 0.333 0.167 0.750  0.31
Ce 0.000 0.500 0.500  1.07
Tm 0.667 0.833 0.250  0.31
Hg 0.667 0.833 0.750  0.02

Energy relative to the elements (eV/atom): -0.21
Relative energy among the computed polymorphs (eV per atom): 0.004
E_tot (eV/atom): -3.775
Symmetry: P6_3/mmc



(5)
This record from Alexandria via LeMat-Bulk describes a geometry-optimized Be2BN structure. The functional is PBE-GGA.

Cell: 4.622 4.622 4.660 Å, 60.27 60.27 90.00°
Fractional positions:
Be 0.717 0.125 0.250
B 0.250 0.750 0.500
Be 0.033 0.625 0.250
N 0.750 0.250 0.500
Be 0.875 0.967 0.750
Be 0.375 0.283 0.750
B 0.500 0.500 0.000
N 0.000 0.000 0.000

Uncorrected formation energy (meV/atom): 260
Relative energy among the computed polymorphs (eV per atom): 0.912
E_tot (eV/atom): -5.353
Symmetry: I-42d



(6)
This record from Alexandria via LeMat-Bulk describes a geometry-optimized Y2WN4 structure. The functional is PBE-GGA.

Cell: 5.808 5.978 6.593 Å, 90.00 107.91 90.00°
Fractional positions:
Y 0.752 0.750 0.559
Y 0.248 0.250 0.441
N 0.551 0.011 0.752
Y 0.331 0.250 0.974
N 0.449 0.989 0.248
N 0.971 0.250 0.092
W 0.781 0.250 0.811
N 0.551 0.489 0.752
N 0.029 0.750 0.908
W 0.219 0.750 0.189
N 0.449 0.511 0.248
N 0.005 0.750 0.348
Y 0.669 0.750 0.026
N 0.995 0.250 0.652

Uncorrected formation energy (meV/atom): -1101
E_tot (eV/atom): -9.556
Symmetry: P2_1/m



(7)
This record from Alexandria via LeMat-Bulk describes a geometry-optimized MgZnSb structure. The functional is PBE-GGA.

Cell: 5.453 5.453 5.453 Å, 144.50 135.30 58.34°
Fractional positions:
Zn 0.661 0.661 0.000
Mg 0.007 0.007 0.000
Sb 0.332 0.332 0.000

Uncorrected formation energy (meV/atom): -8
E_tot (eV/atom): -2.338
Symmetry: Imm2



(8)
This record from Alexandria via LeMat-Bulk describes a geometry-optimized LuPaAu structure. The functional is PBE-GGA.

Cell: 3.308 5.012 5.012 Å, 120.00 90.00 90.00°
Site moments in Bohr magnetons follow the coordinates.
Fractional positions:
Lu 0.609 0.667 0.333  0.08
Pa 0.050 0.000 0.000  0.50
Au 0.341 0.333 0.667  0.01

Energy relative to the elements (eV/atom): -0.02
Relative energy among the computed polymorphs (eV per atom): 0.232
E_tot (eV/atom): -5.786
Symmetry: P3m1



(9)
This record from Alexandria via LeMat-Bulk describes a geometry-optimized NaNb2As2 structure. The functional is PBE-GGA.

Cell: 4.121 4.121 6.648 Å, 71.94 71.94 90.00°
Fractional positions:
Nb 0.750 0.250 0.500
As 0.390 0.390 0.220
Nb 0.250 0.750 0.500
As 0.610 0.610 0.780
Na 0.000 0.000 0.000

Energy relative to the elements (eV/atom): -0.41
Relative energy among the computed polymorphs (eV per atom): 0.000
E_tot (eV/atom): -6.558
Symmetry: I4/mmm



(10)
This record from Alexandria via LeMat-Bulk describes a geometry-optimized Pa5Ni4 structure. The functional is PBE-GGA.

Cell: 3.495 5.870 9.443 Å, 73.83 79.33 72.68°
Fractional positions:
Ni 0.395 0.603 0.606
Ni 0.536 0.749 0.178
Ni 0.605 0.397 0.394
Pa 0.000 0.000 0.000
Pa 0.120 0.157 0.602
Pa 0.756 0.658 0.831
Pa 0.244 0.342 0.169
Pa 0.880 0.843 0.398
Ni 0.464 0.251 0.822

Energy relative to the elements (eV/atom): -0.28
E_tot (eV/atom): -8.122
Symmetry: C2/m



(11)
This record from Alexandria via LeMat-Bulk describes a geometry-optimized MnMo3 structure. The functional is PBE-GGA.

Cell: 2.743 9.270 2.743 Å, 98.51 60.00 98.51°
Fractional positions:
Mo 0.500 0.500 0.500
Mo 0.257 0.770 0.257
Mo 0.743 0.230 0.743
Mn 0.000 0.000 0.000

Energy relative to the elements (eV/atom): 0.36
E_tot (eV/atom): -10.056
Symmetry: R-3m



(12)
This record from Alexandria via LeMat-Bulk describes a geometry-optimized VNiIr6 structure. The functional is PBE-GGA.

Cell: 4.662 4.662 6.069 Å, 105.13 105.13 108.69°
Fractional positions:
Ir 0.747 0.747 0.494
Ir 0.378 0.878 0.756
Ir 0.253 0.253 0.506
Ir 0.622 0.122 0.244
Ni 0.500 0.500 0.000
V 0.000 0.000 0.000
Ir 0.878 0.378 0.756
Ir 0.122 0.622 0.244

Energy relative to the elements (eV/atom): -0.18
E_tot (eV/atom): -8.688
Symmetry: Fmmm



(13)
This record from Alexandria via LeMat-Bulk describes a geometry-optimized Ba2DySbS6 structure. The functional is PBE-GGA.

Cell: 7.169 7.287 10.227 Å, 90.00 90.23 90.00°
Fractional positions:
Sb 0.500 0.000 0.500
Ba 0.985 0.062 0.751
S 0.422 0.996 0.742
Dy 0.500 0.000 0.000
Sb 0.000 0.500 0.000
S 0.805 0.788 0.961
Ba 0.015 0.938 0.249
S 0.195 0.212 0.039
S 0.286 0.697 0.044
S 0.786 0.803 0.544
S 0.922 0.504 0.242
S 0.305 0.712 0.461
Dy 0.000 0.500 0.500
Ba 0.485 0.438 0.251
S 0.714 0.303 0.956
S 0.078 0.496 0.758
Ba 0.515 0.562 0.749
S 0.695 0.288 0.539
S 0.578 0.004 0.258
S 0.214 0.197 0.456

Uncorrected formation energy (meV/atom): -1370
E_tot (eV/atom): -5.104
Symmetry: P2_1/c



(14)
This record from Alexandria via LeMat-Bulk describes a geometry-optimized Pm7Ge2Ru2 structure. The functional is PBE-GGA.

Cell: 6.839 7.089 6.839 Å, 90.00 102.25 90.00°
Fractional positions:
Ru 0.279 0.000 0.721
Pm 0.000 0.743 0.500
Pm 0.500 0.257 0.000
Pm 0.000 0.000 0.000
Ru 0.721 0.000 0.279
Pm 0.000 0.257 0.500
Ge 0.216 0.500 0.216
Pm 0.500 0.761 0.500
Pm 0.500 0.743 0.000
Ge 0.784 0.500 0.784
Pm 0.500 0.239 0.500

Energy relative to the elements (eV/atom): -0.26
E_tot (eV/atom): -5.804
Symmetry: Cmmm



(15)
This record from Alexandria via LeMat-Bulk describes a geometry-optimized ZnSe2SBr structure. The functional is PBE-GGA.

Cell: 5.003 5.003 4.844 Å, 90.00 90.00 90.00°
Fractional positions:
Zn 0.000 0.000 0.000
Br 0.000 0.000 0.500
S 0.500 0.500 0.500
Se 0.500 0.000 0.000
Se 0.000 0.500 0.000

Uncorrected formation energy (meV/atom): 652
Relative energy among the computed polymorphs (eV per atom): 0.161
E_tot (eV/atom): -2.157
Symmetry: P4/mmm



(16)
This record from Alexandria via LeMat-Bulk describes a geometry-optimized Ba2Cd2P3 structure. The functional is PBE-GGA.

Cell: 4.487 8.821 10.370 Å, 81.64 77.51 75.27°
Fractional positions:
P 0.150 0.496 0.203
Ba 0.728 0.874 0.671
Cd 0.408 0.531 0.652
Ba 0.391 0.265 0.954
P 0.934 0.023 0.108
P 0.616 0.230 0.538
P 0.066 0.977 0.892
Cd 0.041 0.235 0.682
Cd 0.959 0.765 0.318
Cd 0.592 0.469 0.348
Ba 0.272 0.126 0.329
P 0.384 0.770 0.462
P 0.850 0.504 0.797
Ba 0.609 0.735 0.046

Energy relative to the elements (eV/atom): -0.71
E_tot (eV/atom): -3.841
Symmetry: C2/m



(17)
This record from Alexandria via LeMat-Bulk describes a geometry-optimized Cs4Hg6Au structure. The functional is PBE-GGA.

Cell: 7.795 12.287 12.290 Å, 119.99 90.00 90.00°
Fractional positions:
Hg 0.384 0.531 0.061
Au 0.273 0.667 0.333
Cs 0.571 0.179 0.357
Hg 0.553 0.826 0.174
Cs 0.071 0.821 0.643
Hg 0.053 0.174 0.826
Hg 0.884 0.469 0.939
Cs 0.071 0.821 0.179
Hg 0.553 0.348 0.174
Hg 0.053 0.174 0.348
Cs 0.071 0.357 0.179
Cs 0.571 0.643 0.821
Au 0.773 0.333 0.667
Hg 0.553 0.826 0.652
Hg 0.384 0.531 0.469
Cs 0.730 0.667 0.333
Cs 0.571 0.179 0.821
Hg 0.884 0.061 0.531
Hg 0.053 0.652 0.826
Hg 0.384 0.939 0.469
Cs 0.230 0.333 0.667
Hg 0.884 0.469 0.531

Energy relative to the elements (eV/atom): -0.21
E_tot (eV/atom): -0.981
Symmetry: P6_3mc



(18)
This record from Alexandria via LeMat-Bulk describes a geometry-optimized Zr2BeP2 structure. The functional is PBE-GGA.

Cell: 6.757 6.757 3.571 Å, 90.00 90.00 90.00°
Fractional positions:
P 0.351 0.851 0.000
P 0.649 0.149 0.000
P 0.851 0.649 0.000
Zr 0.345 0.155 0.500
Zr 0.845 0.345 0.500
P 0.149 0.351 0.000
Zr 0.155 0.655 0.500
Be 0.500 0.500 0.000
Zr 0.655 0.845 0.500
Be 0.000 0.000 0.000

Energy relative to the elements (eV/atom): -0.72
E_tot (eV/atom): -7.046
Symmetry: P4/mbm